Record 1
Entry from the Alexandria database: a relaxed BaHg6Pd2 crystal (PBE).

## Properties
Symmetry   Fd-3m, No. 227

Unit cell a=9.3190 b=9.3190 c=9.3190 alpha=60.00 beta=60.00 gamma=60.00
Last column: nearest neighbours and their distance in Å.
Fractional positions:
Ba: 0.1250 0.1250 0.1250  6 Hg 3.55
Ba: 0.8750 0.8750 0.8750  6 Hg 3.55
Hg: 0.1446 0.1446 0.6054  2 Pd 2.71
Hg: 0.1446 0.6054 0.1446  2 Pd 2.71
Hg: 0.1446 0.6054 0.6054  2 Pd 2.71
Hg: 0.3946 0.3946 0.8554  2 Pd 2.71
Hg: 0.3946 0.8554 0.3946  2 Pd 2.71
Hg: 0.3946 0.8554 0.8554  2 Pd 2.71
Hg: 0.6054 0.1446 0.1446  2 Pd 2.71
Hg: 0.6054 0.1446 0.6054  2 Pd 2.71
Hg: 0.6054 0.6054 0.1446  2 Pd 2.71
Hg: 0.8554 0.3946 0.3946  2 Pd 2.71
Hg: 0.8554 0.3946 0.8554  2 Pd 2.71
Hg: 0.8554 0.8554 0.3946  2 Pd 2.71
Pd: 0.0000 0.5000 0.5000  6 Hg 2.71
Pd: 0.5000 0.0000 0.5000  6 Hg 2.71
Pd: 0.5000 0.5000 0.0000  6 Hg 2.71
Pd: 0.5000 0.5000 0.5000  6 Hg 2.71

---

Record 2
Entry from the Alexandria database: a relaxed BaHgPd crystal (PBE).

## Properties
Symmetry   P-6m2, No. 187

Unit cell a=4.8322 b=4.8322 c=4.4645 alpha=90.00 beta=90.00 gamma=120.00
Last column: nearest neighbours and their distance in Å.
Fractional positions:
Ba: 0.0000 0.0000 0.0000  6 Pd 3.57, 6 Hg 3.57
Hg: 0.6667 0.3333 0.5000  3 Pd 2.79
Pd: 0.3333 0.6667 0.5000  3 Hg 2.79

---

Record 3
Entry from the Alexandria database: a relaxed Ba6HgPd2 crystal (PBE).

## Properties
ΔE to the lowest computed polymorph   0.000 eV per atom
Symmetry   P-31m, No. 162

Unit cell a=8.1282 b=8.1282 c=7.7115 alpha=90.00 beta=90.00 gamma=120.00
Last column: nearest neighbours and their distance in Å.
Fractional positions:
Ba: 0.0000 0.3477 0.2326  2 Pd 3.20, 1 Hg 3.50
Ba: 0.0000 0.6523 0.7674  2 Pd 3.20, 1 Hg 3.50
Ba: 0.3477 0.0000 0.2326  2 Pd 3.20, 1 Hg 3.50
Ba: 0.3477 0.3477 0.7674  2 Pd 3.20, 1 Hg 3.50
Ba: 0.6523 0.0000 0.7674  2 Pd 3.20, 1 Hg 3.50
Ba: 0.6523 0.6523 0.2326  2 Pd 3.20, 1 Hg 3.50
Hg: 0.0000 0.0000 0.5000  6 Ba 3.50
Pd: 0.3333 0.6667 0.0000  6 Ba 3.20
Pd: 0.6667 0.3333 0.0000  6 Ba 3.20

---

Record 4
Entry from the Alexandria database: a relaxed Ba6Hg2Pd crystal (PBE).

## Properties
Symmetry   P2_1/c, No. 14

Unit cell a=8.0162 b=8.9233 c=14.2821 alpha=90.00 beta=123.05 gamma=90.00
Last column: nearest neighbours and their distance in Å.
Fractional positions:
Ba: 0.1061 0.0338 0.2465  1 Pd 3.15, 1 Hg 3.50
Ba: 0.1061 0.4662 0.7465  1 Pd 3.15, 1 Hg 3.50
Ba: 0.2353 0.6881 0.0679  1 Pd 3.20
Ba: 0.2353 0.8119 0.5679  1 Pd 3.20
Ba: 0.3875 0.1768 0.0637  1 Pd 3.14
Ba: 0.3875 0.3232 0.5637  1 Pd 3.14
Ba: 0.6125 0.6768 0.4363  1 Pd 3.14
Ba: 0.6125 0.8232 0.9363  1 Pd 3.14
Ba: 0.7647 0.1881 0.4321  1 Pd 3.20
Ba: 0.7647 0.3119 0.9321  1 Pd 3.20
Ba: 0.8939 0.5338 0.2535  1 Pd 3.15, 1 Hg 3.50
Ba: 0.8939 0.9662 0.7535  1 Pd 3.15, 1 Hg 3.50
Hg: 0.3056 0.1148 0.7538  6 Ba 3.50-3.63
Hg: 0.3056 0.3852 0.2538  6 Ba 3.50-3.63
Hg: 0.6944 0.6148 0.7462  6 Ba 3.50-3.63
Hg: 0.6944 0.8852 0.2462  6 Ba 3.50-3.63
Pd: 0.0000 0.0000 0.0000  6 Ba 3.14-3.20
Pd: 0.0000 0.5000 0.5000  6 Ba 3.14-3.20

---

no.,spin magnetization (μB/atom),formation enthalpy at 0 K (eV per atom)
1,0.0000,-0.05
2,0.0000,-0.55
3,0.0000,-0.39
4,0.0501,-0.37